a.
Density functional theory data (PBE) for a relaxed PmDy4Y crystal.

abc: 3.5731 14.6847 10.6956
angles: 136.74 90.00 90.00
Fractional coordinates of all 12 atoms:
Pm1 0.0000 0.5000 0.5000
Pm2 0.0000 0.0000 0.0000
Dy1 0.4997 0.7500 0.5813
Dy2 0.4997 0.7500 0.9187
Dy3 0.0002 0.0000 0.3337
Dy4 0.0002 0.5000 0.1663
Dy5 0.9998 0.0000 0.6663
Dy6 0.9998 0.5000 0.8337
Dy7 0.5003 0.2500 0.0813
Dy8 0.5003 0.2500 0.4187
Y1 0.4994 0.2500 0.7500
Y2 0.5006 0.7500 0.2500

## Properties
Space-group type ... No. 47
Spin magnetization ... 0.0 μB per formula unit

---

b.
Density functional theory data (PBE) for a relaxed PmDy4Y crystal.

abc: 6.5905 6.5905 6.5905
angles: 60.00 60.00 60.00
Fractional coordinates of all 6 atoms:
Y1 0.0000 0.0000 0.0000
Pm1 0.2500 0.2500 0.2500
Dy1 0.6252 0.6252 0.1244
Dy2 0.6252 0.1244 0.6252
Dy3 0.6252 0.6252 0.6252
Dy4 0.1244 0.6252 0.6252

## Properties
Space-group type ... No. 216
Spin magnetization ... 0.8 μB per formula unit

---

a is preferred energetically. Next in line: 0.239 eV/atom higher.